VASP calculation (SCAN) on a crystal of BeCo2Cl relaxed with PBEsol.

## Properties
Its spin magnetization is 0.628 μB per atom. The density of states at the Fermi level comes out at 1.528 states/eV/cell. The value obtained for the uncorrected formation energy is 559 meV per atom. The calculation puts the energy above the most stable polymorph in this dataset at 365 meV per atom.

Lattice parameters (Å, degrees): 4.483 4.483 2.756 107.77 107.77 110.90
Fractional positions:
Be (0.000, 0.000, 0.000)
Co (0.000, 0.500, 0.000)
Co (0.500, 0.000, 0.000)
Cl (0.500, 0.500, 0.000)